Entry 1:
The following is a PBE calculation of a geometry-optimized BePdS structure, from the Alexandria database.

POSCAR file:
```
BePdS
1.0
-1.7307 2.6942 1.2097
-4.9982 -7.1830 2.7957
0.5428 1.0877 3.2021
Be S Pd
2 2 2
Cartesian
-4.6264 -2.7516 5.5479
-3.0445 -0.0431 3.0854
-1.3174 -1.1206 3.1892
-4.6175 -4.3670 4.2325
-1.4584 2.2976 2.8148
-3.1512 -2.6114 3.5485
```

Results
Crystal system: triclinic
ΔE_f (raw) (meV per atom): -419
Space-group type: P1
VASP energy (eV/atom): -4.77
DOS at the Fermi energy (states/eV/cell): 0.00

Entry 2:
The following is a PBE calculation of a geometry-optimized BSb4 structure, from the Alexandria database.

POSCAR file:
```
BSb4
1.0
-1.6896 -3.1847 3.3330
0.1798 -3.5927 -3.3417
4.6064 -1.0279 1.3529
Sb B
4 1
Cartesian
0.0000 0.0000 0.0000
1.4584 -2.1063 2.3430
2.3931 -2.3103 -0.9944
-0.7549 -3.3887 -0.0043
1.5483 -3.9026 0.6721
```

Results
Crystal system: cubic
ΔE_f (raw) (meV per atom): 669
Space-group type: Pm-3m
VASP energy (eV/atom): -3.96
DOS at the Fermi energy (states/eV/cell): 3.20

Entry 3:
The following is a PBE calculation of a geometry-optimized RbSi2BiI structure, from the Alexandria database.

POSCAR file:
```
RbSi2BiI
1.0
5.4581 0.0000 0.0000
0.0000 8.0917 0.0000
0.0000 0.0000 5.4581
I Si Bi Rb
1 2 1 1
Cartesian
2.7290 4.0458 2.7290
0.0000 0.0000 2.7290
2.7290 0.0000 0.0000
0.0000 0.0000 0.0000
0.0000 4.0458 0.0000
```

Results
Crystal system: tetragonal
ΔE_f (raw) (meV per atom): 524
Space-group type: P4/mmm
VASP energy (eV/atom): -2.93
DOS at the Fermi energy (states/eV/cell): 4.04

Entry 4:
The following is a PBE calculation of a geometry-optimized Dy3Hg2Pb3 structure, from the Alexandria database.

POSCAR file:
```
Dy3Hg2Pb3
1.0
-1.1331 -3.8062 -2.4666
3.1662 -2.3615 2.1895
-7.9406 0.4778 7.3405
Dy Hg Pb
3 2 3
Cartesian
-1.9636 -0.7391 2.0425
1.5831 -1.1808 1.0948
-3.9439 -4.9508 5.0210
-3.9604 -3.1804 2.2967
-1.9471 -2.5094 4.7667
-0.6815 -3.7229 1.6276
-5.2260 -1.9669 5.4358
-0.5665 -1.9031 -1.2333
```

Results
Crystal system: orthorhombic
Energy of formation (kJ/mol of atoms): -37
Space-group type: Immm
VASP energy (eV/atom): -3.58
DOS at the Fermi energy (states/eV/cell): 4.52

Entry 5:
The following is a PBE calculation of a geometry-optimized Sc8Te3CS3 structure, from the Alexandria database.

POSCAR file:
```
Sc8Te3CS3
1.0
7.5534 0.0006 0.0003
-3.7762 6.5457 -0.0231
0.0000 -4.3396 6.6642
Sc Te C S
8 3 1 3
Cartesian
0.0006 2.1905 2.0364
3.7767 0.0163 4.6051
3.7768 2.4416 2.0799
0.0004 -0.2349 4.5615
5.8816 -1.2069 2.0931
-2.1043 3.4137 4.5483
1.6724 -1.2069 2.0925
2.1048 3.4137 4.5489
0.0000 0.0000 0.0000
-1.8881 3.2728 -0.0116
1.8886 3.2731 -0.0114
0.0000 -2.1698 3.3321
3.7767 -2.1695 3.3323
1.8886 1.1034 3.3207
-1.8881 1.1031 3.3205
```

Results
Crystal system: trigonal
ΔE_f (raw) (meV per atom): -1288
Space-group type: R-3m
VASP energy (eV/atom): -6.73
DOS at the Fermi energy (states/eV/cell): 8.43

Entry 6:
The following is a PBE calculation of a geometry-optimized PrErGeIr structure, from the Alexandria database.

POSCAR file:
```
PrErGeIr
1.0
-1.8503 -3.4258 1.5529
-0.9543 -1.2022 -3.7893
5.6902 -1.0127 -1.1118
Pr Er Ge Ir
1 1 1 1
Cartesian
1.4069 -0.8047 -0.0990
2.0943 -4.3141 -1.3643
-0.7695 -2.6760 -1.1627
3.9937 -2.2844 -0.2811
```

Results
Crystal system: orthorhombic
Energy of formation (kJ/mol of atoms): -76
Space-group type: Amm2
VASP energy (eV/atom): -6.49
DOS at the Fermi energy (states/eV/cell): 2.96

Entry 7:
The following is a PBE calculation of a geometry-optimized NaTiFe3 structure, from the Alexandria database.

POSCAR file:
```
NaTiFe3
1.0
-1.8050 -2.8957 -2.9076
3.0012 -3.0979 1.2221
-2.7986 -1.4544 3.1859
Na Fe Ti
1 3 1
Cartesian
-0.8012 -3.7240 0.7502
1.5006 -1.5489 0.6110
-1.3993 -0.7272 1.5929
-0.9025 -1.4479 -1.4538
0.0000 0.0000 0.0000
```

Results
Crystal system: cubic
Energy of formation (kJ/mol of atoms): 104
Space-group type: Pm-3m
VASP energy (eV/atom): -5.84
DOS at the Fermi energy (states/eV/cell): 6.70
Distance to the lowest polymorph of the same formula (eV/f.u.): 0.00

- Which value of VASP energy does entry 4 give?
  -3.58 eV/atom

- Which value of DOS at the Fermi energy does entry 3 give?
  4.04 states/eV/cell

Please write out number 5 again, unchanged.
The following is a PBE calculation of a geometry-optimized Sc8Te3CS3 structure, from the Alexandria database.

POSCAR file:
```
Sc8Te3CS3
1.0
7.5534 0.0006 0.0003
-3.7762 6.5457 -0.0231
0.0000 -4.3396 6.6642
Sc Te C S
8 3 1 3
Cartesian
0.0006 2.1905 2.0364
3.7767 0.0163 4.6051
3.7768 2.4416 2.0799
0.0004 -0.2349 4.5615
5.8816 -1.2069 2.0931
-2.1043 3.4137 4.5483
1.6724 -1.2069 2.0925
2.1048 3.4137 4.5489
0.0000 0.0000 0.0000
-1.8881 3.2728 -0.0116
1.8886 3.2731 -0.0114
0.0000 -2.1698 3.3321
3.7767 -2.1695 3.3323
1.8886 1.1034 3.3207
-1.8881 1.1031 3.3205
```

Results
Crystal system: trigonal
ΔE_f (raw) (meV per atom): -1288
Space-group type: R-3m
VASP energy (eV/atom): -6.73
DOS at the Fermi energy (states/eV/cell): 8.43

- The lowest DOS at the Fermi energy belongs to which entry?
  BePdS